ZnRe4Rh2 | Alexandria | PBE-GGA | relaxed; calculated density = 13.67 Mg/m³; formation energy = 1.712 eV per atom; space group = I4/mmm, No. 139; uncorrected energy = -7.68 eV/atom; volume = 17.6 Å³/atom
1.0
4.434 0.000 0.000
0.000 4.434 0.000
2.217 2.217 6.277
Re Zn Rh
4 1 2
Cartesian
4.434 4.434 2.349
2.217 2.217 3.928
0.000 2.217 0.000
2.217 0.000 0.000
0.000 0.000 0.000
4.434 4.434 4.715
2.217 2.217 1.562